Er4Tm2Al: optimized geometry, PBE.

Values from the calculation:
Its raw total energy is -4.0054 eV per atom. Its formation enthalpy at 0 K is 414 meV/atom.

```
data_Er4Tm2Al
_space_group_name_H-M_alt 'R -3 m'
_space_group_IT_number 166
_space_group_name_Hall '-R 3 2"'
_cell_length_a 4.6261
_cell_length_b 4.6261
_cell_length_c 37.3112
_cell_angle_alpha 90.00
_cell_angle_beta 90.00
_cell_angle_gamma 120.00
loop_
_atom_site_label
_atom_site_type_symbol
_atom_site_fract_x
_atom_site_fract_y
_atom_site_fract_z
Er1 Er 0.0000 0.0000 0.0862
Er2 Er 0.0000 0.0000 0.3007
Tm1 Tm 0.0000 0.0000 0.1932
Al1 Al 0.0000 0.0000 0.0000
```